Arrangement P

Computed, not measured: a geometry-optimized GaTeOsN2 structure at the PBE level of DFT.

N(E_F) = 5.1 states/eV/f.u.
V = 19.191 Å³/atom

Unit cell a=3.773 b=3.773 c=6.739 alpha=90.00 beta=90.00 gamma=90.00
Fractional coordinates of all 5 atoms:
Os1 0.500 0.500 0.500
Te1 0.000 0.000 0.500
N1 0.000 0.500 0.000
N2 0.500 0.000 0.000
Ga1 0.000 0.000 0.000

=====

Arrangement Q

Computed, not measured: a geometry-optimized GaTeOsN2 structure at the PBE level of DFT.

N(E_F) = 4.0 states/eV/f.u.
V = 17.218 Å³/atom

Unit cell a=3.876 b=3.876 c=5.730 alpha=90.00 beta=90.00 gamma=90.00
Fractional coordinates of all 5 atoms:
Ga1 0.500 0.500 0.500
Os1 0.000 0.000 0.000
Te1 0.000 0.000 0.500
N1 0.500 0.000 0.000
N2 0.000 0.500 0.000

=====

Least stable of them? arrangement P.

=====

Arrangement P

Computed, not measured: a geometry-optimized Ga3PN structure at the PBE level of DFT.

N(E_F) = 2.0 states/eV/f.u.
V = 20.816 Å³/atom

Unit cell a=4.704 b=4.704 c=4.704 alpha=90.00 beta=90.00 gamma=90.00
Fractional coordinates of all 5 atoms:
N1 0.500 0.500 0.500
P1 0.000 0.000 0.000
Ga1 0.500 0.000 0.000
Ga2 0.000 0.000 0.500
Ga3 0.000 0.500 0.000

=====

Arrangement Q

Computed, not measured: a geometry-optimized Ga3PN structure at the PBE level of DFT.

N(E_F) = 2.6 states/eV/f.u.
V = 16.093 Å³/atom

Unit cell a=4.317 b=4.317 c=4.317 alpha=90.00 beta=90.00 gamma=90.00
Fractional coordinates of all 5 atoms:
Ga1 0.000 0.000 0.500
Ga2 0.500 0.000 0.000
Ga3 0.000 0.500 0.000
P1 0.500 0.500 0.500
N1 0.000 0.000 0.000

=====

Least stable of them? arrangement P.

=====

Arrangement P

Computed, not measured: a geometry-optimized GaPSN2 structure at the PBE level of DFT.

N(E_F) = 0.9 states/eV/f.u.
V = 15.061 Å³/atom

Unit cell a=3.379 b=3.379 c=6.596 alpha=90.00 beta=90.00 gamma=90.00
Fractional coordinates of all 5 atoms:
N1 0.000 0.500 0.000
N2 0.500 0.000 0.000
S1 0.000 0.000 0.500
P1 0.000 0.000 0.000
Ga1 0.500 0.500 0.500

=====

Arrangement Q

Computed, not measured: a geometry-optimized GaPSN2 structure at the PBE level of DFT.

N(E_F) = 2.8 states/eV/f.u.
V = 15.048 Å³/atom

Unit cell a=3.848 b=3.848 c=5.082 alpha=90.00 beta=90.00 gamma=90.00
Fractional coordinates of all 5 atoms:
N1 0.000 0.500 0.000
N2 0.500 0.000 0.000
P1 0.500 0.500 0.500
S1 0.000 0.000 0.500
Ga1 0.000 0.000 0.000

=====

Least stable of them? arrangement Q.

=====

Arrangement P

Computed, not measured: a geometry-optimized GaPSeN2 structure at the PBE level of DFT.

N(E_F) = 2.8 states/eV/f.u.
V = 20.411 Å³/atom

Unit cell a=3.702 b=3.702 c=7.449 alpha=90.00 beta=90.00 gamma=90.00
Fractional coordinates of all 5 atoms:
N1 0.500 0.000 0.000
N2 0.000 0.500 0.000
P1 0.500 0.500 0.500
Ga1 0.000 0.000 0.000
Se1 0.000 0.000 0.500

=====

Arrangement Q

Computed, not measured: a geometry-optimized GaPSeN2 structure at the PBE level of DFT.

N(E_F) = 1.4 states/eV/f.u.
V = 16.380 Å³/atom

Unit cell a=3.470 b=3.470 c=6.803 alpha=90.00 beta=90.00 gamma=90.00
Fractional coordinates of all 5 atoms:
N1 0.000 0.500 0.000
N2 0.500 0.000 0.000
Ga1 0.500 0.500 0.500
P1 0.000 0.000 0.000
Se1 0.000 0.000 0.500

=====

Least stable of them? arrangement P.

=====

Arrangement P

Computed, not measured: a geometry-optimized GaTePN2 structure at the PBE level of DFT.

N(E_F) = 1.6 states/eV/f.u.
V = 17.399 Å³/atom

Unit cell a=3.613 b=3.613 c=6.663 alpha=90.00 beta=90.00 gamma=90.00
Fractional coordinates of all 5 atoms:
P1 0.000 0.000 0.000
Te1 0.000 0.000 0.500
N1 0.000 0.500 0.000
N2 0.500 0.000 0.000
Ga1 0.500 0.500 0.500

=====

Arrangement Q

Computed, not measured: a geometry-optimized GaTePN2 structure at the PBE level of DFT.

N(E_F) = 3.2 states/eV/f.u.
V = 23.004 Å³/atom

Unit cell a=3.788 b=3.788 c=8.016 alpha=90.00 beta=90.00 gamma=90.00
Fractional coordinates of all 5 atoms:
P1 0.500 0.500 0.500
Te1 0.000 0.000 0.500
N1 0.500 0.000 0.000
N2 0.000 0.500 0.000
Ga1 0.000 0.000 0.000

=====

Least stable of them? arrangement Q.

=====

Arrangement P

Computed, not measured: a geometry-optimized PaGaN structure at the PBE level of DFT.

N(E_F) = 3.6 states/eV/f.u.
V = 16.814 Å³/atom

Unit cell a=3.503 b=3.503 c=8.586 alpha=101.77 beta=101.77 gamma=90.00
Fractional coordinates of all 6 atoms:
Ga1 0.500 0.000 0.000
Ga2 0.000 0.500 0.000
N1 0.697 0.697 0.394
N2 0.303 0.303 0.606
Pa1 0.832 0.832 0.664
Pa2 0.168 0.168 0.336

=====

Arrangement Q

Computed, not measured: a geometry-optimized PaGaN structure at the PBE level of DFT.

N(E_F) = 2.2 states/eV/f.u.
V = 17.877 Å³/atom

Unit cell a=4.090 b=3.891 c=7.014 alpha=73.90 beta=90.00 gamma=90.00
Fractional coordinates of all 6 atoms:
N1 0.750 0.751 0.498
N2 0.250 0.249 0.502
Pa1 0.250 0.834 0.332
Pa2 0.750 0.166 0.668
Ga1 0.250 0.550 0.901
Ga2 0.750 0.450 0.099

=====

Arrangement R

Computed, not measured: a geometry-optimized PaGaN structure at the PBE level of DFT.

N(E_F) = 2.6 states/eV/f.u.
V = 20.447 Å³/atom

Unit cell a=4.946 b=3.784 c=3.784 alpha=120.00 beta=90.00 gamma=90.00
Fractional coordinates of all 3 atoms:
N1 0.167 0.000 0.000
Pa1 0.167 0.667 0.333
Ga1 0.667 0.333 0.667

=====

Arrangement S

Computed, not measured: a geometry-optimized PaGaN structure at the PBE level of DFT.

N(E_F) = 3.1 states/eV/f.u.
V = 19.131 Å³/atom

Unit cell a=4.113 b=4.113 c=4.469 alpha=117.40 beta=117.40 gamma=90.00
Fractional coordinates of all 3 atoms:
N1 0.277 0.277 0.553
Ga1 0.994 0.994 0.989
Pa1 0.579 0.579 0.158

=====

Least stable of them? arrangement S.